Below is a relaxed BaSr2CoO4 crystal, with properties calculated at the PBE+U level.

Cell and atoms, written as extended XYZ:
```
16
Lattice="3.6373 0.0000 0.0000 -1.8187 6.1058 0.0000 0.0000 0.0000 12.3981" Properties=species:S:1:pos:R:3 pbc="T T T"
O 0.0000 3.2278 4.6265
O 0.0000 3.2278 1.5726
Sr 0.0000 4.5055 6.7679
Ba 0.0000 1.2764 9.2986
O 1.8187 2.8780 7.7716
Co 0.0000 2.0021 3.0995
O 1.8187 2.8780 10.8255
O 0.0000 0.0000 0.0000
O 0.0000 5.1625 9.2986
O 1.8187 0.9433 3.0995
Sr 1.8187 1.6003 0.5688
Sr 1.8187 1.6003 5.6302
Sr 0.0000 4.5055 11.8292
Co 1.8187 4.1037 9.2986
Ba 1.8187 4.8294 3.0995
O 0.0000 0.0000 6.1990
```

density of states at the Fermi level	0.0	states/eV/cell
calculated total energy	-48.23	eV/f.u.